Compound: MgZn3Se2
Source: Alexandria via LeMat-Bulk
Functional: PBE-GGA
Structure: optimized geometry

a b c (Å): 4.7511 4.7511 12.8556
angles (deg): 90.00 90.00 120.00
Space group P6_3/mmc (No. 194)
Unique sites:
1 Mg 0.0000 0.0000 0.0000 [2 per cell]
2 Zn 0.1669 0.3339 0.2500 [6 per cell]
3 Se 0.3333 0.6667 0.5945 [4 per cell]

Computed properties:
**Total magnetization**: 0.00 Bohr magnetons per cell
**N(E_F)**: 0.25 states/eV per cell
**ΔE_f (raw)**: -0.242 eV/atom